1.
Below is a relaxed NaSc crystal, with properties calculated at the PBE level.

Geometry as CIF:
```
data_NaSc
_chemical_formula_sum 'Na2 Sc2'
_symmetry_space_group_name_H-M 'P m m n'
_symmetry_Int_Tables_number 59
_cell_length_a 3.422
_cell_length_b 5.355
_cell_length_c 6.058
_cell_angle_alpha 90.00
_cell_angle_beta 90.00
_cell_angle_gamma 90.00
loop_
_symmetry_equiv_pos_as_xyz
'x,y,z'
'-x,-y,-z'
'-x+1/2,-y+1/2,z'
'x+1/2,y+1/2,-z'
'x+1/2,-y,-z'
'-x+1/2,y,z'
'-x,y+1/2,-z'
'x,-y+1/2,z'
loop_
_atom_site_label
_atom_site_type_symbol
_atom_site_fract_x
_atom_site_fract_y
_atom_site_fract_z
Na1 Na 0.250 0.250 0.002
Sc1 Sc 0.250 0.750 0.498
```

Values from the calculation:
* energy relative to the lowest polymorph listed for this composition: 0.054 eV/atom
* energy of formation: 360 meV/atom
* energy: -13.861 eV/cell
* crystal system: orthorhombic
* D(E_F): 2.736 states/eV/f.u.
* V: 27.76 A^3/atom


2.
Below is a relaxed NaSc crystal, with properties calculated at the PBE level.

Geometry as CIF:
```
data_NaSc
_chemical_formula_sum 'Na4 Sc4'
_symmetry_space_group_name_H-M 'F -4 3 m'
_symmetry_Int_Tables_number 216
_symmetry_space_group_name_Hall 'F -4 2 3'
_cell_length_a 6.927
_cell_length_b 6.927
_cell_length_c 6.927
_cell_angle_alpha 90.00
_cell_angle_beta 90.00
_cell_angle_gamma 90.00
loop_
_atom_site_label
_atom_site_type_symbol
_atom_site_fract_x
_atom_site_fract_y
_atom_site_fract_z
Na1 Na 0.000 0.000 0.000
Sc1 Sc 0.250 0.250 0.750
```

Values from the calculation:
* energy relative to the lowest polymorph listed for this composition: 1.279 eV/atom
* energy of formation: 1585 meV/atom
* energy: -17.919 eV/cell
* crystal system: cubic
* D(E_F): 4.211 states/eV/f.u.
* V: 41.55 A^3/atom


The lowest energy relative to the lowest polymorph listed for this composition belongs to which entry? number 1